a.
Computed, not measured: CaVO2 after structural relaxation at the PBE with a Hubbard U level of DFT.

Unit cell a=8.4074 b=8.4074 c=8.4074 alpha=91.95 beta=91.95 gamma=158.74
Last column: nearest neighbours and their distance in Å.
Sites, in units of the cell vectors:
V: 0.0368 0.6475 0.6843  4 O 2.01-2.12
V: 0.6475 0.9632 0.6108  4 O 2.01-2.12
V: 0.9632 0.3525 0.3157  4 O 2.01-2.12
V: 0.3525 0.0368 0.3892  4 O 2.01-2.12
O: 0.1805 0.0331 0.2135  1 V 2.01
O: 0.0331 0.8195 0.8526  1 V 2.01
O: 0.9669 0.1805 0.1474  1 V 2.01
O: 0.8596 0.6596 0.5193  3 V 2.07-2.12
O: 0.6596 0.1404 0.8000  3 V 2.07-2.12
O: 0.3404 0.8596 0.2000  3 V 2.07-2.12
O: 0.8195 0.9669 0.7865  1 V 2.01
O: 0.1404 0.3404 0.4807  3 V 2.07-2.12
Ca: 0.3782 0.3344 0.7126  4 O 2.30-2.39
Ca: 0.6218 0.6656 0.2874  4 O 2.30-2.39
Ca: 0.3344 0.6218 0.9561  4 O 2.30-2.39
Ca: 0.6656 0.3782 0.0439  4 O 2.30-2.39

Computed properties:
Its size of the total moment is 2.55 μB/f.u.

***

b.
Computed, not measured: CaVO2 after structural relaxation at the PBE with a Hubbard U level of DFT.

Unit cell a=3.9344 b=3.9344 c=3.9344 alpha=60.00 beta=60.00 gamma=60.00
Last column: nearest neighbours and their distance in Å.
Sites, in units of the cell vectors:
Ca: 0.0000 0.0000 0.0000  8 O 2.41
V: 0.5000 0.5000 0.5000  8 O 2.41
O: 0.7500 0.7500 0.7500  4 Ca 2.41, 4 V 2.41
O: 0.2500 0.2500 0.2500  4 Ca 2.41, 4 V 2.41

Computed properties:
Its size of the total moment is 1.00 μB/f.u.

***

c.
Computed, not measured: CaVO2 after structural relaxation at the PBE with a Hubbard U level of DFT.

Unit cell a=4.9921 b=4.9921 c=6.0802 alpha=65.76 beta=65.76 gamma=90.00
Last column: nearest neighbours and their distance in Å.
Sites, in units of the cell vectors:
O: 0.8750 0.9142 0.7500  2 V 2.05, 2 Ca 2.27
O: 0.3750 0.3358 0.7500  2 V 2.05, 2 Ca 2.27
O: 0.0858 0.6250 0.2500  2 V 2.05, 2 Ca 2.27
O: 0.6642 0.1250 0.2500  2 V 2.05, 2 Ca 2.27
V: 0.7500 0.2500 0.5000  4 O 2.05
V: 0.0000 0.0000 0.0000  4 O 2.05
Ca: 0.5000 0.5000 0.0000  4 O 2.27
Ca: 0.2500 0.7500 0.5000  4 O 2.27

Computed properties:
Its size of the total moment is 2.99 μB/f.u.

***

Here is how they stack up, most stable first: a, c, b.

***

a.
Computed, not measured: CaVO2 after structural relaxation at the PBE with a Hubbard U level of DFT.

Unit cell a=6.3726 b=6.3726 c=6.3726 alpha=32.22 beta=32.22 gamma=32.22
Last column: nearest neighbours and their distance in Å.
Sites, in units of the cell vectors:
O: 0.8996 0.8996 0.8996  1 V 1.82
O: 0.1004 0.1004 0.1004  1 V 1.82
V: 0.0000 0.0000 0.0000  2 O 1.82
Ca: 0.5000 0.5000 0.5000  6 O 2.37

Computed properties:
Its size of the total moment is 2.06 μB/f.u.

***

b.
Computed, not measured: CaVO2 after structural relaxation at the PBE with a Hubbard U level of DFT.

Unit cell a=3.1939 b=8.7118 c=8.7939 alpha=81.03 beta=80.13 gamma=79.60
Last column: nearest neighbours and their distance in Å.
Sites, in units of the cell vectors:
O: 0.9059 0.4586 0.7200  3 V 2.04-2.10
O: 0.0941 0.5414 0.2800  3 V 2.04-2.10
O: 0.4927 0.1738 0.7708  2 V 2.20, 3 Ca 2.25-2.37
O: 0.7183 0.7315 0.8685  3 Ca 2.22-2.33, 2 V 2.26-2.28
O: 0.7004 0.1906 0.4450  2 V 2.11-2.22, 2 Ca 2.30-2.31
O: 0.2817 0.2685 0.1315  3 Ca 2.22-2.33, 2 V 2.26-2.28
O: 0.2996 0.8094 0.5550  2 V 2.11-2.22, 2 Ca 2.30-2.31
O: 0.5073 0.8262 0.2292  2 V 2.20, 3 Ca 2.25-2.37
V: 0.3342 0.6077 0.7431  5 O 2.04-2.28
V: 0.9721 0.7405 0.3938  4 O 2.08-2.20
V: 0.6658 0.3923 0.2569  5 O 2.04-2.28
V: 0.0279 0.2595 0.6062  4 O 2.08-2.20
Ca: 0.8771 0.2664 0.9364  5 O 2.32-2.37
Ca: 0.3265 0.0630 0.3157  4 O 2.22-2.31
Ca: 0.1229 0.7336 0.0636  5 O 2.32-2.37
Ca: 0.6735 0.9370 0.6843  4 O 2.22-2.31

Computed properties:
Its size of the total moment is 3.00 μB/f.u.

***

c.
Computed, not measured: CaVO2 after structural relaxation at the PBE with a Hubbard U level of DFT.

Unit cell a=6.6794 b=6.6794 c=6.6794 alpha=28.23 beta=28.23 gamma=28.23
Last column: nearest neighbours and their distance in Å.
Sites, in units of the cell vectors:
Ca: 0.0000 0.0000 0.0000  2 O 2.21
O: 0.8850 0.8850 0.8850  3 V 2.13, 1 Ca 2.21
O: 0.1150 0.1150 0.1150  3 V 2.13, 1 Ca 2.21
V: 0.5000 0.5000 0.5000  6 O 2.13

Computed properties:
Its size of the total moment is 2.23 μB/f.u.

***

Here is how they stack up, most stable first: a, b, c.